No. 1
Below is a relaxed structure of TbOsPb2O6, with properties calculated at the PBE level.

CIF file:
```
data_TbOsPb2O6
_cell_length_a 5.898
_cell_length_b 5.903
_cell_length_c 10.171
_cell_angle_alpha 90.00
_cell_angle_beta 125.07
_cell_angle_gamma 90.00
_space_group_name_H-M_alt 'P 1 21/c 1'
_space_group_IT_number 14
_space_group_name_Hall '-P 2ybc'
loop_
_atom_site_label
_atom_site_fract_x
_atom_site_fract_y
_atom_site_fract_z
Tb1 0.000 0.000 0.000
Os1 0.500 0.000 0.500
Pb1 0.262 0.027 0.753
O1 0.192 0.014 0.268
O2 0.278 0.702 0.042
O3 0.343 0.231 0.040
```

Output
The total energy comes out at -6.964 eV/atom. Its energy relative to the elements, uncorrected is -1.662 eV/atom. The value obtained for the size of the total moment is 0.289 μB/atom.


No. 2
Below is a relaxed structure of Ba2CaRe, with properties calculated at the PBE level.

CIF file:
```
data_Ba2CaRe
_cell_length_a 5.224
_cell_length_b 5.224
_cell_length_c 4.992
_cell_angle_alpha 90.00
_cell_angle_beta 90.00
_cell_angle_gamma 90.00
_space_group_name_H-M_alt 'P 4/m m m'
_space_group_IT_number 123
_space_group_name_Hall '-P 4 2'
loop_
_atom_site_label
_atom_site_fract_x
_atom_site_fract_y
_atom_site_fract_z
Ba1 0.000 0.500 0.000
Ca1 0.000 0.000 0.500
Re1 0.500 0.500 0.500
```

Output
The calculation puts the calculated formation energy at 1.0135 eV/atom. The total energy comes out at -3.560 eV/atom. The value obtained for the size of the total moment is 0.346 μB/atom. For the polymorph energy (0 for the lowest one), the calculation gives 22.9 kJ/mol of atoms.


No. 3
Below is a relaxed structure of La2Pr8Th, with properties calculated at the PBE level.

CIF file:
```
data_La2Pr8Th
_cell_length_a 18.902
_cell_length_b 5.240
_cell_length_c 8.295
_cell_angle_alpha 90.00
_cell_angle_beta 105.14
_cell_angle_gamma 90.00
_space_group_name_H-M_alt 'C 1 2/m 1'
_space_group_IT_number 12
_space_group_name_Hall '-C 2y'
loop_
_atom_site_label
_atom_site_fract_x
_atom_site_fract_y
_atom_site_fract_z
La1 0.228 0.000 0.136
Pr1 0.043 0.000 0.234
Pr2 0.090 0.500 0.948
Pr3 0.133 0.000 0.675
Pr4 0.179 0.500 0.407
Th1 0.000 0.500 0.500
```

Output
The calculation puts the calculated formation energy at 0.0294 eV/atom. The total energy comes out at -5.017 eV/atom. The value obtained for the size of the total moment is 0.000 μB/atom.


No. 4
Below is a relaxed structure of ZnPt2Cl, with properties calculated at the PBE level.

CIF file:
```
data_ZnPt2Cl
_cell_length_a 3.995
_cell_length_b 3.995
_cell_length_c 8.106
_cell_angle_alpha 90.00
_cell_angle_beta 90.00
_cell_angle_gamma 90.00
_space_group_name_H-M_alt 'I 4/m m m'
_space_group_IT_number 139
_space_group_name_Hall '-I 4 2'
loop_
_atom_site_label
_atom_site_fract_x
_atom_site_fract_y
_atom_site_fract_z
Zn1 0.000 0.000 0.000
Pt1 0.000 0.500 0.250
Cl1 0.000 0.000 0.500
```

Output
The total energy comes out at -3.546 eV/atom. Its energy relative to the elements, uncorrected is 0.254 eV/atom. The value obtained for the size of the total moment is 0.000 μB/atom. For the polymorph energy (0 for the lowest one), the calculation gives 32.7 kJ/mol of atoms.


No. 5
Below is a relaxed structure of ZnAuBr, with properties calculated at the PBE level.

CIF file:
```
data_ZnAuBr
_cell_length_a 3.542
_cell_length_b 6.607
_cell_length_c 12.470
_cell_angle_alpha 90.00
_cell_angle_beta 90.00
_cell_angle_gamma 90.00
_space_group_name_H-M_alt 'F m m 2'
_space_group_IT_number 42
_space_group_name_Hall 'F 2 -2'
loop_
_atom_site_label
_atom_site_fract_x
_atom_site_fract_y
_atom_site_fract_z
Zn1 0.000 0.000 0.000
Au1 0.000 0.000 0.644
Br1 0.000 0.000 0.351
```

Output
The total energy comes out at -2.146 eV/atom. Its energy relative to the elements, uncorrected is -0.072 eV/atom. The value obtained for the size of the total moment is 0.000 μB/atom. For the polymorph energy (0 for the lowest one), the calculation gives 23.8 kJ/mol of atoms.


No. 6
Below is a relaxed structure of Se3Br, with properties calculated at the PBE level.

CIF file:
```
data_Se3Br
_cell_length_a 3.728
_cell_length_b 3.916
_cell_length_c 7.340
_cell_angle_alpha 90.00
_cell_angle_beta 90.00
_cell_angle_gamma 90.00
_space_group_name_H-M_alt 'P m m 2'
_space_group_IT_number 25
_space_group_name_Hall 'P 2 -2'
loop_
_atom_site_label
_atom_site_fract_x
_atom_site_fract_y
_atom_site_fract_z
Se1 0.000 0.000 0.000
Se2 0.000 0.500 0.405
Se3 0.500 0.000 0.229
Br1 0.500 0.500 0.686
```

Output
The total energy comes out at -2.689 eV/atom. Its energy relative to the elements, uncorrected is 0.342 eV/atom. The value obtained for the size of the total moment is 0.000 μB/atom. For the polymorph energy (0 for the lowest one), the calculation gives 27.9 kJ/mol of atoms.